No. 1
# PuVZn2O6

A relaxed structure of PuVZn2O6 (PBE with a Hubbard U, Alexandria via LeMat-Bulk).

Cell lengths 6.8486, 6.8486, 5.4319 Å; angles 98.52, 98.52, 76.94 degrees
With the nearest neighbours (Å) after each atom.
Sites, in units of the cell vectors:
Pu (0.1643, 0.8357, 0.7500)  6 O 2.22-2.42
Pu (0.8357, 0.1643, 0.2500)  6 O 2.22-2.42
V (0.4063, 0.5937, 0.2500)  4 O 1.83-2.04
V (0.5937, 0.4063, 0.7500)  4 O 1.83-2.04
Zn (0.1148, 0.3351, 0.7905)  4 O 1.92-2.00
Zn (0.3351, 0.1148, 0.2905)  4 O 1.92-2.00
Zn (0.6649, 0.8852, 0.7095)  4 O 1.92-2.00
Zn (0.8852, 0.6649, 0.2095)  4 O 1.92-2.00
O (0.0905, 0.1612, 0.0384)  2 Zn 1.97-2.00
O (0.1612, 0.0905, 0.5384)  2 Zn 1.97-2.00
O (0.1673, 0.6021, 0.3682)  1 V 1.83, 1 Zn 1.98
O (0.3060, 0.5080, 0.8864)  1 Zn 1.92, 2 V 2.04-2.14
O (0.3979, 0.8327, 0.1318)  1 V 1.83, 1 Zn 1.98
O (0.4920, 0.6940, 0.6136)  1 Zn 1.92, 2 V 2.04-2.14
O (0.5080, 0.3060, 0.3864)  1 Zn 1.92, 2 V 2.04-2.14
O (0.6021, 0.1673, 0.8682)  1 V 1.83, 1 Zn 1.98
O (0.6940, 0.4920, 0.1136)  1 Zn 1.92, 2 V 2.04-2.14
O (0.8327, 0.3979, 0.6318)  1 V 1.83, 1 Zn 1.98
O (0.8388, 0.9095, 0.4616)  2 Zn 1.97-2.00
O (0.9095, 0.8388, 0.9616)  2 Zn 1.97-2.00

Properties
The volume is 12.2 Å³/atom.


No. 2
# PuVZnO6

A relaxed structure of PuVZnO6 (PBE with a Hubbard U, Alexandria via LeMat-Bulk).

Cell lengths 5.2850, 5.2850, 8.9516 Å; angles 90.00, 90.00, 120.00 degrees
With the nearest neighbours (Å) after each atom.
Sites, in units of the cell vectors:
Pu (0.3333, 0.6667, 0.2500)  6 O 2.08
Pu (0.6667, 0.3333, 0.7500)  6 O 2.08
V (0.3333, 0.6667, 0.7500)  6 O 1.95
V (0.6667, 0.3333, 0.2500)  6 O 1.95
Zn (0.0000, 0.0000, 0.0000)  6 O 2.20
Zn (0.0000, 0.0000, 0.5000)  6 O 2.20
O (0.0187, 0.3580, 0.6331)  1 V 1.95, 1 Pu 2.08
O (0.0187, 0.6607, 0.8669)  1 V 1.95, 1 Pu 2.08
O (0.3393, 0.3580, 0.8669)  1 V 1.95, 1 Pu 2.08
O (0.3393, 0.9813, 0.6331)  1 V 1.95, 1 Pu 2.08
O (0.3580, 0.0187, 0.1331)  1 V 1.95, 1 Pu 2.08
O (0.3580, 0.3393, 0.3669)  1 V 1.95, 1 Pu 2.08
O (0.6420, 0.6607, 0.6331)  1 V 1.95, 1 Pu 2.08
O (0.6420, 0.9813, 0.8669)  1 V 1.95, 1 Pu 2.08
O (0.6607, 0.0187, 0.3669)  1 V 1.95, 1 Pu 2.08
O (0.6607, 0.6420, 0.1331)  1 V 1.95, 1 Pu 2.08
O (0.9813, 0.3393, 0.1331)  1 V 1.95, 1 Pu 2.08
O (0.9813, 0.6420, 0.3669)  1 V 1.95, 1 Pu 2.08

Properties
The volume is 12.0 Å³/atom.


No. 3
# PuZrV2O6

A relaxed structure of PuZrV2O6 (PBE with a Hubbard U, Alexandria via LeMat-Bulk).

Cell lengths 5.4367, 5.4634, 5.8388 Å; angles 62.31, 62.30, 60.29 degrees
With the nearest neighbours (Å) after each atom.
Sites, in units of the cell vectors:
Pu (0.0000, 0.0000, 0.0000)  6 O 2.28-2.44
Zr (0.5073, 0.5083, 0.4739)  6 O 2.08-2.21
V (0.2072, 0.2099, 0.3696)  6 O 2.02-2.12
V (0.7129, 0.7121, 0.8585)  6 O 2.18-2.21
O (0.1165, 0.8220, 0.6343)  1 Zr 2.09, 2 V 2.10-2.19
O (0.3465, 0.5610, 0.1635)  2 V 2.04-2.19, 1 Zr 2.21
O (0.4258, 0.1162, 0.6373)  1 Zr 2.08, 2 V 2.12-2.19
O (0.5639, 0.9249, 0.1650)  2 V 2.05-2.21, 1 Zr 2.21, 1 Pu 2.28
O (0.8204, 0.4241, 0.6386)  1 Zr 2.09, 2 V 2.11-2.18
O (0.9262, 0.3511, 0.1627)  2 V 2.02-2.19, 1 Zr 2.21

Properties
The volume is 12.7 Å³/atom.


No. 4
# Pu2WO11

A relaxed structure of Pu2WO11 (PBE with a Hubbard U, Alexandria via LeMat-Bulk).

Cell lengths 7.9235, 7.9235, 7.9235 Å; angles 115.72, 112.53, 100.53 degrees
With the nearest neighbours (Å) after each atom.
Sites, in units of the cell vectors:
Pu (0.1798, 0.1628, 0.3426)  3 O 1.83-1.96
Pu (0.3202, 0.6628, 0.9830)  3 O 1.83-1.96
Pu (0.6798, 0.3372, 0.0170)  3 O 1.83-1.96
Pu (0.8202, 0.8372, 0.6574)  3 O 1.83-1.96
W (0.2500, 0.7500, 0.5000)  4 O 1.92
W (0.7500, 0.2500, 0.5000)  4 O 1.92
O (0.0000, 0.0000, 0.0000)  2 Pu 2.09, 2 O 2.23
O (0.0260, 0.4322, 0.7289)  1 W 1.92, 1 Pu 2.12
O (0.0677, 0.8739, 0.6493)  1 Pu 1.96
O (0.2033, 0.9322, 0.4062)  1 W 1.92, 1 Pu 2.12
O (0.2036, 0.8431, 0.0467)  1 Pu 1.83
O (0.2246, 0.4184, 0.3507)  1 Pu 1.96
O (0.2754, 0.6261, 0.1938)  1 Pu 1.96
O (0.2964, 0.3431, 0.6395)  1 Pu 1.83
O (0.2967, 0.7029, 0.7289)  1 W 1.92, 1 Pu 2.12
O (0.4323, 0.0816, 0.8062)  1 Pu 1.96
O (0.4740, 0.2029, 0.4062)  1 W 1.92, 1 Pu 2.12
O (0.5000, 0.5000, 0.0000)  2 Pu 2.09, 2 O 2.23
O (0.5260, 0.7971, 0.5938)  1 W 1.92, 1 Pu 2.12
O (0.5677, 0.9184, 0.1938)  1 Pu 1.96
O (0.7033, 0.2971, 0.2711)  1 W 1.92, 1 Pu 2.12
O (0.7036, 0.6569, 0.3605)  1 Pu 1.83
O (0.7246, 0.3739, 0.8062)  1 Pu 1.96
O (0.7754, 0.5816, 0.6493)  1 Pu 1.96
O (0.7964, 0.1569, 0.9533)  1 Pu 1.83
O (0.7967, 0.0678, 0.5938)  1 W 1.92, 1 Pu 2.12
O (0.9323, 0.1261, 0.3507)  1 Pu 1.96
O (0.9740, 0.5678, 0.2711)  1 W 1.92, 1 Pu 2.12

Properties
The volume is 13.4 Å³/atom.


Number 1: total energy -7.3922 eV per atom. Number 2: total energy -7.8489 eV per atom. Number 3: total energy -9.3020 eV per atom. Number 4: total energy -8.0415 eV per atom.